Compound: NpTiPt2
Source: Alexandria via LeMat-Bulk
Functional: PBE
Structure: relaxed

It has space group P4/mmm (No. 123), with a = 3.135 Å, b = 3.135 Å, c = 7.452 Å, α = 90.00°, β = 90.00° and γ = 90.00°. Symmetry generates all atoms from Np at (0.000, 0.000, 0.000), Ti at (0.000, 0.000, 0.500) and Pt at (0.500, 0.500, 0.298).

The density of states at the Fermi level is 7.59 states/eV/cell. The value obtained for the formation energy is -646.5 meV/atom. The calculation puts the magnetization at 1.05 μB per atom. For the energy above the most stable polymorph in this dataset, the calculation gives 0.000 eV/atom. The calculation puts the final energy at -8.88 eV per atom.

***

Compound: NpTiPt6
Source: Alexandria via LeMat-Bulk
Functional: PBE
Structure: relaxed

It has space group P4/mmm (No. 123), with a = 4.050 Å, b = 4.050 Å, c = 8.141 Å, α = 90.00°, β = 90.00° and γ = 90.00°. Symmetry generates all atoms from Np at (0.000, 0.000, 0.000), Ti at (0.000, 0.000, 0.500), Pt at (0.000, 0.500, 0.267), Pt at (0.500, 0.500, 0.000) and Pt at (0.500, 0.500, 0.500).

The density of states at the Fermi level is 12.53 states/eV/cell. The value obtained for the formation energy is -711.6 meV/atom. The calculation puts the magnetization at 0.41 μB per atom. The calculation puts the final energy at -7.85 eV per atom.

***

Compound: Np2TiPt9
Source: Alexandria via LeMat-Bulk
Functional: PBE
Structure: relaxed

It has space group P4/mmm (No. 123), with a = 4.085 Å, b = 4.085 Å, c = 12.299 Å, α = 90.00°, β = 90.00° and γ = 90.00°. Symmetry generates all atoms from Np at (0.000, 0.000, 0.171), Ti at (0.000, 0.000, 0.500), Pt at (0.000, 0.500, 0.000), Pt at (0.000, 0.500, 0.347), Pt at (0.500, 0.500, 0.175) and Pt at (0.500, 0.500, 0.500).

The density of states at the Fermi level is 25.10 states/eV/cell. The value obtained for the formation energy is -671.3 meV/atom. The calculation puts the magnetization at 0.54 μB per atom. The calculation puts the final energy at -8.02 eV per atom.

***

Compound: NpTi2Pt9
Source: Alexandria via LeMat-Bulk
Functional: PBE
Structure: relaxed

It has space group P4/mmm (No. 123), with a = 4.018 Å, b = 4.018 Å, c = 12.084 Å, α = 90.00°, β = 90.00° and γ = 90.00°. Symmetry generates all atoms from Np at (0.000, 0.000, 0.000), Ti at (0.000, 0.000, 0.338), Pt at (0.000, 0.500, 0.182), Pt at (0.000, 0.500, 0.500), Pt at (0.500, 0.500, 0.000) and Pt at (0.500, 0.500, 0.341).

The density of states at the Fermi level is 12.20 states/eV/cell. The value obtained for the formation energy is -760.8 meV/atom. The calculation puts the magnetization at 0.28 μB per atom. The calculation puts the final energy at -7.69 eV per atom.

***

Compound: NpTiPt2
Source: Alexandria via LeMat-Bulk
Functional: PBE
Structure: relaxed

It has space group R-3m (No. 166, hexagonal axes), with a = 4.4183 Å, b = 4.4183 Å, c = 14.0989 Å, α = 90.00°, β = 90.00° and γ = 120.00°. Symmetry generates all atoms from Np at (0.0000, 0.0000, 0.0000), Ti at (0.0000, 0.0000, 0.5000) and Pt at (0.0000, 0.0000, 0.2166).

The density of states at the Fermi level is 31.25 states/eV/cell. The value obtained for the formation energy is -578.4 meV/atom. The calculation puts the magnetization at 0.97 μB per atom. For the energy above the most stable polymorph in this dataset, the calculation gives 0.068 eV/atom. The calculation puts the final energy at -8.81 eV per atom.

***

Compound: ZrNpTiPt
Source: Alexandria via LeMat-Bulk
Functional: PBE
Structure: relaxed

It has space group F-43m (No. 216), with a = 6.697 Å, b = 6.697 Å, c = 6.697 Å, α = 90.00°, β = 90.00° and γ = 90.00°. Symmetry generates all atoms from Zr at (0.000, 0.000, 0.000), Np at (0.250, 0.250, 0.250), Ti at (0.000, 0.000, 0.500) and Pt at (0.250, 0.250, 0.750).

The density of states at the Fermi level is 61.11 states/eV/cell. The value obtained for the formation energy is -74.8 meV/atom. The calculation puts the magnetization at 1.17 μB per atom. The calculation puts the final energy at -8.93 eV per atom.

***

Compound: NpTlPt
Source: Alexandria via LeMat-Bulk
Functional: PBE
Structure: relaxed

It has space group P2_1/c (No. 14), with a = 6.818 Å, b = 6.769 Å, c = 6.684 Å, α = 90.00°, β = 102.02° and γ = 90.00°. Symmetry generates all atoms from Np at (0.001, 0.198, 0.001), Tl at (0.500, 0.232, 0.499) and Pt at (0.227, 0.501, 0.220).

The density of states at the Fermi level is 23.13 states/eV/cell. The value obtained for the formation energy is -64.2 meV/atom. The calculation puts the magnetization at 1.35 μB per atom. The calculation puts the final energy at -7.18 eV per atom.

***

Compound: Np2TlPt9
Source: Alexandria via LeMat-Bulk
Functional: PBE
Structure: relaxed

It has space group P4/mmm (No. 123), with a = 4.138 Å, b = 4.138 Å, c = 12.385 Å, α = 90.00°, β = 90.00° and γ = 90.00°. Symmetry generates all atoms from Np at (0.000, 0.000, 0.168), Tl at (0.000, 0.000, 0.500), Pt at (0.000, 0.500, 0.000), Pt at (0.000, 0.500, 0.331), Pt at (0.500, 0.500, 0.168) and Pt at (0.500, 0.500, 0.500).

The density of states at the Fermi level is 29.29 states/eV/cell. The value obtained for the formation energy is -440.3 meV/atom. The calculation puts the magnetization at 0.47 μB per atom. The calculation puts the final energy at -7.32 eV per atom.

***

Compound: NpTlPt4
Source: Alexandria via LeMat-Bulk
Functional: PBE
Structure: relaxed

It has space group F-43m (No. 216), with a = 7.687 Å, b = 7.687 Å, c = 7.687 Å, α = 90.00°, β = 90.00° and γ = 90.00°. Symmetry generates all atoms from Np at (0.000, 0.000, 0.000), Tl at (0.250, 0.250, 0.750) and Pt at (0.125, 0.125, 0.375).

The density of states at the Fermi level is 52.00 states/eV/cell. The value obtained for the formation energy is -457.6 meV/atom. The calculation puts the magnetization at 0.61 μB per atom. The calculation puts the final energy at -7.04 eV per atom.

***

Compound: TmNp3Pt12
Source: Alexandria via LeMat-Bulk
Functional: PBE
Structure: relaxed

It has space group P4/mmm (No. 123), with a = 4.127 Å, b = 4.127 Å, c = 16.644 Å, α = 90.00°, β = 90.00° and γ = 90.00°. Symmetry generates all atoms from Tm at (0.000, 0.000, 0.000), Np at (0.000, 0.000, 0.247), Np at (0.000, 0.000, 0.500), Pt at (0.000, 0.500, 0.124), Pt at (0.000, 0.500, 0.373), Pt at (0.500, 0.500, 0.000), Pt at (0.500, 0.500, 0.248) and Pt at (0.500, 0.500, 0.500).

The density of states at the Fermi level is 42.34 states/eV/cell. The value obtained for the formation energy is -725.2 meV/atom. The calculation puts the magnetization at 0.17 μB per atom. The calculation puts the final energy at -7.96 eV per atom.

***

Compound: TmNpPt2
Source: Alexandria via LeMat-Bulk
Functional: PBE
Structure: relaxed

It has space group R-3m (No. 166, hexagonal axes), with a = 4.0849 Å, b = 4.0849 Å, c = 19.3325 Å, α = 90.00°, β = 90.00° and γ = 120.00°. Symmetry generates all atoms from Tm at (0.0000, 0.0000, 0.0000), Np at (0.0000, 0.0000, 0.5000) and Pt at (0.0000, 0.0000, 0.2480).

The density of states at the Fermi level is 32.27 states/eV/cell. The value obtained for the formation energy is -771.0 meV/atom. The calculation puts the magnetization at 0.90 μB per atom. For the energy above the most stable polymorph in this dataset, the calculation gives 0.058 eV/atom. The calculation puts the final energy at -8.14 eV per atom.

***

Compound: TmNpPt4
Source: Alexandria via LeMat-Bulk
Functional: PBE
Structure: relaxed

It has space group F-43m (No. 216), with a = 7.671 Å, b = 7.671 Å, c = 7.671 Å, α = 90.00°, β = 90.00° and γ = 90.00°. Symmetry generates all atoms from Tm at (0.000, 0.000, 0.000), Np at (0.250, 0.250, 0.250) and Pt at (0.125, 0.125, 0.625).

The density of states at the Fermi level is 51.05 states/eV/cell. The value obtained for the formation energy is -846.2 meV/atom. The calculation puts the magnetization at 0.68 μB per atom. The calculation puts the final energy at -7.78 eV per atom.